[1]
SmGe2O4 | PBE-GGA | optimized geometry Values from VASP.

## Properties
* final energy: -43.6 eV for the cell shown
* formation energy from raw total energies: -1398 meV/atom

```
&SYSTEM
  ibrav = 0, nat = 7, ntyp = 3
/
ATOMIC_SPECIES
Sm 150.36 Sm.upf
Ge 72.64 Ge.upf
O 16.00 O.upf
CELL_PARAMETERS angstrom
-3.650 3.650 2.961
3.650 -3.650 2.961
3.650 3.650 -2.961
ATOMIC_POSITIONS crystal
Sm 0.000 0.000 0.000
Ge 0.250 0.750 0.500
Ge 0.750 0.250 0.500
O 0.001 0.682 0.683
O 0.318 0.001 0.319
O 0.682 0.999 0.681
O 0.999 0.318 0.317
```

[2]
Nb2MoCl | PBE-GGA | optimized geometry Values from VASP.

## Properties
* final energy: -60.3 eV for the cell shown
* formation energy from raw total energies: 667 meV/atom
* E above lowest polymorph: 0.023 eV per atom

```
&SYSTEM
  ibrav = 0, nat = 8, ntyp = 3
/
ATOMIC_SPECIES
Nb 92.91 Nb.upf
Mo 95.94 Mo.upf
Cl 35.45 Cl.upf
CELL_PARAMETERS angstrom
-3.494 3.494 2.911
3.494 -3.494 2.911
3.494 3.494 -2.911
ATOMIC_POSITIONS crystal
Nb 0.090 0.125 0.465
Nb 0.375 0.910 0.035
Nb 0.660 0.625 0.535
Nb 0.875 0.340 0.965
Mo 0.250 0.750 0.500
Mo 0.500 0.500 0.000
Cl 0.000 0.000 0.000
Cl 0.750 0.250 0.500
```

[3]
ReTeCN2 | PBE-GGA | optimized geometry Values from VASP.

## Properties
* final energy: -28.0 eV for the cell shown
* formation energy from raw total energies: 2703 meV/atom
* E above lowest polymorph: 1.266 eV per atom

```
&SYSTEM
  ibrav = 0, nat = 5, ntyp = 4
/
ATOMIC_SPECIES
Re 186.21 Re.upf
Te 127.60 Te.upf
C 12.01 C.upf
N 14.01 N.upf
CELL_PARAMETERS angstrom
3.809 0.000 0.000
0.000 3.809 0.000
0.000 0.000 4.196
ATOMIC_POSITIONS crystal
Re 0.000 0.000 0.000
Te 0.500 0.500 0.000
C 0.500 0.500 0.500
N 0.000 0.500 0.500
N 0.500 0.000 0.500
```